An optimized crystal structure of LiCdAgAu, computed with PBE.

a b c (Å): 4.6985 4.7111 6.4087
angles (deg): 90.00 90.00 90.00
Fractional coordinates of all 8 atoms:
Au1 0.0000 0.2331 0.0003
Au2 0.5000 0.7669 0.5003
Cd1 0.0000 0.7312 0.2500
Cd2 0.5000 0.2688 0.7500
Ag1 0.0000 0.2315 0.4998
Ag2 0.5000 0.7685 0.9998
Li1 0.0000 0.7370 0.7499
Li2 0.5000 0.2630 0.2499

**Space-group type**: Pmn2_1 (31)
**Final energy**: -2.5265 eV per atom
**Crystal system**: orthorhombic